DFT (PBE+U) results for crystalline VTcN2F at its relaxed geometry.

abc: 3.9196 3.9196 3.8267
angles: 90.00 90.00 90.00
Space group P4/mmm (No. 123)
Symmetry-distinct sites (fractional):
V 0.0000 0.0000 0.0000 x1
Tc 0.5000 0.5000 0.5000 x1
N 0.0000 0.5000 0.0000 x2
F 0.0000 0.0000 0.5000 x1

Properties
As for the total energy: -6.930 eV per atom. Its offset from the most stable computed form is 0.000 eV/atom.